Entry from Alexandria via LeMat-Bulk: MnCdNiP2 after structural relaxation (GGA-PBE).

Geometry as POSCAR:
```
MnCdNiP2
1.0
4.8498 0.0000 0.0000
0.0000 4.9602 0.0000
0.0000 0.0000 4.8498
P Mn Cd Ni
2 1 1 1
direct
0.5000 0.0000 0.0000
0.0000 0.0000 0.5000
0.0000 0.5000 0.0000
0.0000 0.0000 0.0000
0.5000 0.5000 0.5000
```

Properties
As for the symmetry: P4/mmm, No. 123. The value obtained for the formation energy is 1.611 eV/atom.

Entry from Alexandria via LeMat-Bulk: HgMo2Pb after structural relaxation (GGA-PBE).

Geometry as POSCAR:
```
HgMo2Pb
1.0
-3.9944 -2.4125 -2.5129
3.4563 -3.4419 2.0730
-1.5556 -0.0461 2.5171
Pb Hg Mo
1 1 2
direct
0.5000 0.0000 0.5000
0.0000 0.5000 0.5000
0.5000 0.5000 0.0000
0.0000 0.0000 0.0000
```

Properties
As for the symmetry: Cmmm, No. 65. The energy above the most stable polymorph in this dataset comes out at 507 meV/atom. The value obtained for the formation energy is 0.903 eV/atom.

Entry from Alexandria via LeMat-Bulk: VNi8B2 after structural relaxation (GGA-PBE).

Geometry as POSCAR:
```
VNi8B2
1.0
-3.5869 0.4543 1.2873
-1.0809 -3.9184 -3.9841
2.2252 -2.3591 4.6774
B Ni V
2 8 1
direct
0.0000 0.3189 0.6811
0.0000 0.6811 0.3189
0.5000 0.7484 0.2516
0.9158 0.9349 0.6738
0.0842 0.0651 0.3262
0.6978 0.3884 0.3884
0.0842 0.3262 0.0651
0.3022 0.6116 0.6116
0.5000 0.2516 0.7484
0.9158 0.6738 0.9349
0.5000 0.0000 0.0000
```

Properties
As for the symmetry: C2/m, No. 12. The value obtained for the formation energy is -0.206 eV/atom.

Entry from Alexandria via LeMat-Bulk: Na2IBr4 after structural relaxation (GGA-PBE).

Geometry as POSCAR:
```
Na2IBr4
1.0
7.5773 0.0000 0.0000
0.0000 7.5773 0.0000
-3.7886 -3.7886 3.9587
Na Br I
2 4 1
direct
0.2500 0.7500 0.5000
0.7500 0.2500 0.5000
0.7708 0.7708 0.0010
0.2302 0.2302 0.0010
0.2292 0.7698 0.9990
0.7698 0.2292 0.9990
0.5000 0.5000 0.0000
```

Properties
As for the symmetry: I4/mmm, No. 139. The energy above the most stable polymorph in this dataset comes out at 0 meV/atom. The formation energy from raw total energies comes out at -727 meV per atom.

Entry from Alexandria via LeMat-Bulk: CrSbAs2 after structural relaxation (GGA-PBE).

Geometry as POSCAR:
```
CrSbAs2
1.0
4.8022 0.0054 0.0000
-1.1284 4.6677 0.0000
0.0000 0.0000 3.5941
As Sb Cr
2 1 1
direct
0.0000 0.0000 0.0000
0.5000 0.5000 0.0000
0.0000 0.5000 0.5000
0.5000 0.0000 0.5000
```

Properties
As for the symmetry: Cmmm, No. 65. The formation energy from raw total energies comes out at 344 meV per atom.

Entry from Alexandria via LeMat-Bulk: KCd3Br7 after structural relaxation (GGA-PBE).

Geometry as POSCAR:
```
KCd3Br7
1.0
-5.0914 2.2223 -4.3349
-3.6099 -6.7058 0.8279
-4.6128 1.1127 6.0140
Br Cd K
7 3 1
direct
0.6837 0.9131 0.3355
0.6837 0.3355 0.9131
0.8258 0.8610 0.8610
0.3163 0.6645 0.0869
0.0000 0.5000 0.5000
0.1742 0.1390 0.1390
0.3163 0.0869 0.6645
0.0000 0.7990 0.2010
0.0000 0.2010 0.7990
0.5000 0.0000 0.0000
0.5000 0.5000 0.5000
```

Properties
As for the symmetry: C2/m, No. 12. The formation energy from raw total energies comes out at -981 meV per atom.

Entry from Alexandria via LeMat-Bulk: Sr2TcRh after structural relaxation (GGA-PBE).

Geometry as POSCAR:
```
Sr2TcRh
1.0
-4.6125 8.1091 2.6217
-4.7715 6.3542 5.5464
-1.9845 8.1806 4.8007
Sr Tc Rh
2 1 1
direct
0.4954 0.4954 0.4954
0.0046 0.0046 0.0046
0.2500 0.2500 0.2500
0.7500 0.7500 0.7500
```

Properties
As for the symmetry: R-3m, No. 166. The energy above the most stable polymorph in this dataset comes out at 558 meV/atom. The value obtained for the formation energy is 0.773 eV/atom.

Entry from Alexandria via LeMat-Bulk: Dy9HoEr2 after structural relaxation (GGA-PBE).

Geometry as POSCAR:
```
Dy9HoEr2
1.0
3.4711 0.0000 0.0000
0.0000 11.1435 0.0000
0.0000 -5.5718 9.6506
Dy Er Ho
9 2 1
direct
0.5000 0.1761 0.3522
0.0000 0.5000 0.0000
0.5000 0.6478 0.8239
0.0000 0.0000 0.5000
0.5000 0.8239 0.1761
0.5000 0.1761 0.8239
0.0000 0.5000 0.5000
0.5000 0.8239 0.6478
0.5000 0.3522 0.1761
0.0000 0.6667 0.3333
0.0000 0.3333 0.6667
0.0000 0.0000 0.0000
```

Properties
As for the symmetry: P6/mmm, No. 191. The energy above the most stable polymorph in this dataset comes out at 30 meV/atom. The value obtained for the formation energy is 0.051 eV/atom.

Entry from Alexandria via LeMat-Bulk: Sm6YEr2 after structural relaxation (GGA-PBE).

Geometry as POSCAR:
```
Sm6YEr2
1.0
-3.3975 -1.1727 5.1377
-6.5130 -8.5582 -0.7950
5.1227 -5.7659 7.5370
Sm Y Er
12 2 4
direct
0.5963 0.3252 0.5636
0.8163 0.9908 0.4221
0.7617 0.9368 0.8496
0.0963 0.5636 0.3252
0.9037 0.4364 0.6748
0.6837 0.5779 0.0092
0.4037 0.6748 0.4364
0.2383 0.0632 0.1504
0.2617 0.8496 0.9368
0.7383 0.1504 0.0632
0.3163 0.4221 0.9908
0.1837 0.0092 0.5779
0.7500 0.8200 0.1800
0.2500 0.1800 0.8200
0.2965 0.2363 0.3711
0.7965 0.3711 0.2363
0.7035 0.7637 0.6289
0.2035 0.6289 0.7637
```

Properties
As for the symmetry: C2/c, No. 15. The energy above the most stable polymorph in this dataset comes out at 195 meV/atom. The value obtained for the formation energy is 0.213 eV/atom.

Entry from Alexandria via LeMat-Bulk: TmCoSi2Os after structural relaxation (GGA-PBE).

Geometry as POSCAR:
```
TmCoSi2Os
1.0
4.0103 0.0000 0.0000
0.0000 4.0103 0.0000
-2.0052 -2.0052 4.8526
Tm Si Co Os
1 2 1 1
direct
0.0000 0.0000 0.0000
0.3739 0.3739 0.7478
0.6261 0.6261 0.2522
0.7500 0.2500 0.5000
0.2500 0.7500 0.5000
```

Properties
As for the symmetry: I-4m2, No. 119. The formation energy from raw total energies comes out at -775 meV per atom.

Entry from Alexandria via LeMat-Bulk: PuCuAgSn after structural relaxation (GGA-PBE).

Geometry as POSCAR:
```
PuCuAgSn
1.0
-2.5730 -2.1995 3.6167
2.2850 -1.4015 4.1657
-0.8751 2.4125 4.2370
Sn Ag Pu Cu
1 1 1 1
direct
0.5000 0.5000 0.5000
0.0000 0.0000 0.0000
0.7500 0.7500 0.7500
0.2500 0.2500 0.2500
```

Properties
As for the symmetry: F-43m, No. 216. The value obtained for the formation energy is 0.061 eV/atom.

Entry from Alexandria via LeMat-Bulk: Ti2CoH2 after structural relaxation (GGA-PBE).

Geometry as POSCAR:
```
Ti2CoH2
1.0
-0.7675 2.0786 -1.8572
0.4512 -1.8083 -2.2103
-5.5965 -1.7836 0.3167
Ti Co H
2 1 2
direct
0.5000 0.5000 0.7388
0.5000 0.5000 0.2612
0.0000 0.0000 0.0000
0.0000 0.5000 0.5000
0.5000 0.0000 0.5000
```

Properties
As for the symmetry: P4/mmm, No. 123. The energy above the most stable polymorph in this dataset comes out at 138 meV/atom.

Entry from Alexandria via LeMat-Bulk: K2TaMn after structural relaxation (GGA-PBE).

Geometry as POSCAR:
```
K2TaMn
1.0
4.5923 0.0172 0.2227
3.5615 2.8991 0.2227
1.5409 0.5511 10.5487
Ta K Mn
1 2 1
direct
0.1980 0.1980 0.3752
0.8451 0.8451 0.6646
0.9869 0.9869 0.0854
0.4700 0.4700 0.3748
```

Properties
As for the symmetry: Cm, No. 8. The energy above the most stable polymorph in this dataset comes out at 174 meV/atom. The value obtained for the formation energy is 0.909 eV/atom.

Entry from Alexandria via LeMat-Bulk: Hf2Be2Rh after structural relaxation (GGA-PBE).

Geometry as POSCAR:
```
Hf2Be2Rh
1.0
-1.3959 -6.0854 -1.4022
4.1370 -1.9775 4.4634
-2.6042 0.0374 2.4303
Be Hf Rh
4 4 2
direct
0.6195 0.1195 0.0000
0.8805 0.6195 0.0000
0.3805 0.8805 0.0000
0.1195 0.3805 0.0000
0.3237 0.1763 0.5000
0.1763 0.6763 0.5000
0.8237 0.3237 0.5000
0.6763 0.8237 0.5000
0.0000 0.0000 0.0000
0.5000 0.5000 0.0000
```

Properties
As for the symmetry: P4/mbm, No. 127. The energy above the most stable polymorph in this dataset comes out at 0 meV/atom. The value obtained for the formation energy is -0.492 eV/atom.

Entry from Alexandria via LeMat-Bulk: Ti2FeOs after structural relaxation (GGA-PBE).

Geometry as POSCAR:
```
Ti2FeOs
1.0
-2.8913 -1.4503 -2.8235
-2.9835 -2.8267 1.2425
-4.1065 1.2129 0.3175
Os Ti Fe
1 2 1
direct
0.2500 0.2500 0.2500
0.5000 0.5000 0.5000
0.0000 0.0000 0.0000
0.7500 0.7500 0.7500
```

Properties
As for the symmetry: Fm-3m, No. 225. The value obtained for the formation energy is -0.556 eV/atom.

Entry from Alexandria via LeMat-Bulk: SrCr2P after structural relaxation (GGA-PBE).

Geometry as POSCAR:
```
SrCr2P
1.0
-1.3090 2.9233 -2.2628
1.9525 -1.1216 -2.5785
-4.7172 -3.5394 -1.8438
Cr P Sr
2 1 1
direct
0.5000 0.3704 0.1972
0.0000 0.8654 0.1691
0.0000 0.3764 0.4370
0.5000 0.8878 0.6967
```

Properties
As for the symmetry: Pm, No. 6. The value obtained for the formation energy is -0.075 eV/atom.

Entry from Alexandria via LeMat-Bulk: BaZn12Au7 after structural relaxation (GGA-PBE).

Geometry as POSCAR:
```
BaZn12Au7
1.0
6.8315 0.0000 -1.8872
-3.3123 6.7332 -3.1180
-0.2069 0.0000 8.1232
Au Zn Ba
7 12 1
direct
0.1725 0.6553 0.0000
0.8275 0.0000 0.3447
0.5000 0.0000 0.0000
0.8275 0.3447 0.0000
0.1725 0.0000 0.6553
0.4827 0.6553 0.6553
0.5173 0.3447 0.3447
0.7327 0.7328 0.4655
0.0000 0.2673 0.7328
0.8904 0.3360 0.3360
0.5544 0.0000 0.6640
0.0000 0.7327 0.2672
0.2672 0.5345 0.2673
0.4456 0.3360 0.0000
0.2673 0.2672 0.5345
0.5544 0.6640 0.0000
0.7328 0.4655 0.7327
0.4456 0.0000 0.3360
0.1096 0.6640 0.6640
0.0000 0.0000 0.0000
```

Properties
As for the symmetry: R-3m, No. 166. The value obtained for the formation energy is -0.169 eV/atom.

Entry from Alexandria via LeMat-Bulk: AcTlPtAu after structural relaxation (GGA-PBE).

Geometry as POSCAR:
```
AcTlPtAu
1.0
5.2262 0.0000 0.0000
2.6131 4.5260 0.0000
2.6131 1.5087 4.2672
Ac Pt Au Tl
1 1 1 1
direct
0.0000 0.0000 0.0000
0.2500 0.2500 0.2500
0.7500 0.7500 0.7500
0.5000 0.5000 0.5000
```

Properties
As for the symmetry: F-43m, No. 216. The value obtained for the formation energy is -0.588 eV/atom.

Entry from Alexandria via LeMat-Bulk: TbCe2Ho3Te6 after structural relaxation (GGA-PBE).

Geometry as POSCAR:
```
TbCe2Ho3Te6
1.0
4.3530 0.0000 0.0000
0.0000 8.8701 0.2361
-2.1765 -2.6390 9.2472
Ho Te Ce Tb
3 6 2 1
direct
0.1681 0.8336 0.3361
0.8319 0.1664 0.6639
0.5000 0.5000 0.0000
0.6633 0.5908 0.3266
0.9968 0.2503 0.9937
0.3335 0.9250 0.6669
0.0032 0.7497 0.0063
0.3367 0.4092 0.6734
0.6665 0.0750 0.3331
0.8324 0.6646 0.6649
0.1676 0.3354 0.3351
0.5000 0.0000 0.0000
```

Properties
As for the symmetry: C2/m, No. 12. The formation energy from raw total energies comes out at -1306 meV per atom.

Entry from Alexandria via LeMat-Bulk: ZrCu2Au after structural relaxation (GGA-PBE).

Geometry as POSCAR:
```
ZrCu2Au
1.0
-1.3186 1.7201 -4.2725
0.8799 -0.2436 -4.7030
-3.3206 -3.4188 -1.3637
Cu Au Zr
2 1 1
direct
0.5035 0.5035 0.4888
0.9965 0.9965 0.0112
0.2500 0.2500 0.2500
0.7500 0.7500 0.7500
```

Properties
As for the symmetry: C2/m, No. 12. The energy above the most stable polymorph in this dataset comes out at 171 meV/atom. The value obtained for the formation energy is -0.090 eV/atom.

Entry from Alexandria via LeMat-Bulk: ZrZn2Au after structural relaxation (GGA-PBE).

Geometry as POSCAR:
```
ZrZn2Au
1.0
3.1971 0.0000 0.0000
0.0000 3.1981 0.0000
0.0000 0.0000 6.8086
Au Zn Zr
1 2 1
direct
0.5000 0.5000 0.7500
0.0000 0.0000 0.5211
0.0000 0.0000 0.9789
0.5000 0.5000 0.2500
```

Properties
As for the symmetry: P4/mmm, No. 123. The value obtained for the formation energy is -0.264 eV/atom.

Entry from Alexandria via LeMat-Bulk: YAg2SbS4 after structural relaxation (GGA-PBE).

Geometry as POSCAR:
```
YAg2SbS4
1.0
-2.1758 -1.6155 2.9263
2.3246 -6.0589 -1.6165
5.8376 -1.5162 3.5035
Y S Ag Sb
1 4 2 1
direct
0.0000 0.5000 0.5000
0.0000 0.7469 0.7449
0.5000 0.2595 0.7528
0.0000 0.2531 0.2551
0.5000 0.7405 0.2472
0.0000 0.0000 0.0000
0.5000 0.0000 0.5000
0.5000 0.5000 0.0000
```

Properties
As for the symmetry: P2/m, No. 10. The formation energy from raw total energies comes out at -709 meV per atom.

Entry from Alexandria via LeMat-Bulk: Be2RhPb after structural relaxation (GGA-PBE).

Geometry as POSCAR:
```
Be2RhPb
1.0
-0.3540 -0.7452 -8.0994
-3.3234 -0.9864 -7.3664
-2.0401 1.7830 -7.6772
Rh Be Pb
1 2 1
direct
0.7500 0.7500 0.7500
0.0213 0.0213 0.0213
0.4787 0.4787 0.4787
0.2500 0.2500 0.2500
```

Properties
As for the symmetry: R-3m, No. 166. The value obtained for the formation energy is 0.275 eV/atom.

Entry from Alexandria via LeMat-Bulk: CeLuTlGa after structural relaxation (GGA-PBE).

Geometry as POSCAR:
```
CeLuTlGa
1.0
5.2452 0.0000 0.0000
2.6226 4.5425 0.0000
2.6226 1.5142 4.2827
Tl Ce Ga Lu
1 1 1 1
direct
0.7500 0.7500 0.7500
0.5000 0.5000 0.5000
0.2500 0.2500 0.2500
0.0000 0.0000 0.0000
```

Properties
As for the symmetry: F-43m, No. 216. The value obtained for the formation energy is -0.344 eV/atom.

Entry from Alexandria via LeMat-Bulk: YTlIr2 after structural relaxation (GGA-PBE).

Geometry as POSCAR:
```
YTlIr2
1.0
-0.6027 -0.9279 -4.0950
0.5538 -3.9623 0.8163
-4.6290 -2.4997 1.2477
Y Tl Ir
1 1 2
direct
0.5000 0.7718 0.8315
0.0000 0.4706 0.4311
0.5000 0.0638 0.2502
0.0000 0.1938 0.9872
```

Properties
As for the symmetry: Pm, No. 6. The energy above the most stable polymorph in this dataset comes out at 62 meV/atom. The value obtained for the formation energy is -0.195 eV/atom.

Entry from Alexandria via LeMat-Bulk: Ba2HoTlSe4 after structural relaxation (GGA-PBE).

Geometry as POSCAR:
```
Ba2HoTlSe4
1.0
-1.9630 2.1855 -3.4181
-3.4588 -6.4577 -2.1428
-7.1108 -0.5303 3.7446
Se Tl Ba Ho
4 1 2 1
direct
0.0000 0.2725 0.2756
0.0000 0.7275 0.7244
0.5000 0.7200 0.2798
0.5000 0.2800 0.7202
0.5000 0.5000 0.0000
0.5000 0.0000 0.5000
0.0000 0.0000 0.0000
0.0000 0.5000 0.5000
```

Properties
As for the symmetry: P2/m, No. 10. The formation energy from raw total energies comes out at -1615 meV per atom.

Number 1: total energy -18.630 eV per formula unit. Number 2: total energy -22.059 eV per formula unit. Number 3: total energy -70.989 eV per formula unit. Number 4: total energy -15.966 eV per formula unit. Number 5: total energy -21.670 eV per formula unit. Number 6: total energy -26.347 eV per formula unit. Number 7: total energy -17.988 eV per formula unit. Number 8: total energy -54.506 eV per formula unit. Number 9: total energy -41.989 eV per formula unit. Number 10: total energy -37.527 eV per formula unit. Number 11: total energy -25.037 eV per formula unit. Number 12: total energy -30.980 eV per formula unit. Number 13: total energy -19.581 eV per formula unit. Number 14: total energy -37.169 eV per formula unit. Number 15: total energy -37.706 eV per formula unit. Number 16: total energy -26.640 eV per formula unit. Number 17: total energy -43.537 eV per formula unit. Number 18: total energy -18.145 eV per formula unit. Number 19: total energy -64.758 eV per formula unit. Number 20: total energy -20.378 eV per formula unit. Number 21: total energy -15.428 eV per formula unit. Number 22: total energy -38.475 eV per formula unit. Number 23: total energy -17.411 eV per formula unit. Number 24: total energy -17.225 eV per formula unit. Number 25: total energy -27.332 eV per formula unit. Number 26: total energy -37.644 eV per formula unit.